# YErAlCu

YErAlCu after structural relaxation (GGA-PBE, Alexandria via LeMat-Bulk).

Unit cell a=7.1087 b=7.1087 c=7.1087 alpha=90.00 beta=90.00 gamma=90.00
Last column: nearest neighbours and their distance in Å.
Fractional coordinates of all 16 atoms:
1 Y 0.0000 0.0000 0.0000  4 Cu 3.08, 4 Al 3.08
2 Y 0.0000 0.5000 0.5000  4 Cu 3.08, 4 Al 3.08
3 Y 0.5000 0.0000 0.5000  4 Cu 3.08, 4 Al 3.08
4 Y 0.5000 0.5000 0.0000  4 Al 3.08, 4 Cu 3.08
5 Er 0.0000 0.0000 0.5000  4 Al 3.08, 4 Cu 3.08
6 Er 0.0000 0.5000 0.0000  4 Al 3.08, 4 Cu 3.08
7 Er 0.5000 0.0000 0.0000  4 Al 3.08, 4 Cu 3.08
8 Er 0.5000 0.5000 0.5000  4 Al 3.08, 4 Cu 3.08
9 Al 0.2500 0.2500 0.7500  4 Er 3.08, 4 Y 3.08
10 Al 0.2500 0.7500 0.2500  4 Er 3.08, 4 Y 3.08
11 Al 0.7500 0.2500 0.2500  4 Er 3.08, 4 Y 3.08
12 Al 0.7500 0.7500 0.7500  4 Er 3.08, 4 Y 3.08
13 Cu 0.2500 0.2500 0.2500  4 Er 3.08, 4 Y 3.08
14 Cu 0.2500 0.7500 0.7500  4 Er 3.08, 4 Y 3.08
15 Cu 0.7500 0.2500 0.7500  4 Er 3.08, 4 Y 3.08
16 Cu 0.7500 0.7500 0.2500  4 Er 3.08, 4 Y 3.08

Properties
As for the symmetry: F-43m, No. 216. Its total energy is -5.0175 eV per atom. The calculation puts the distance to the lowest polymorph of the same formula at 34 meV per atom. The energy of formation from the pure elements is -301 meV per atom.